{"formula": "SmDyBr3", "functional": "PBE", "state": "optimized geometry", "lattice": [[-3.0307, -2.4188, 0.7222], [3.7520, -6.0972, 6.0951], [-2.6951, 2.9408, 9.3091]], "species": ["Br", "Br", "Br", "Br", "Dy", "Dy", "Sm", "Sm", "Br", "Br"], "fractional_positions": [[0.0344, 0.6784, 0.2528], [0.3347, 0.8237, 0.5069], [0.6653, 0.1763, 0.4931], [0.7878, 0.3060, 0.1184], [0.4277, 0.1861, 0.9584], [0.5723, 0.8139, 0.0416], [0.8626, 0.9893, 0.2855], [0.1374, 0.0107, 0.7145], [0.9656, 0.3216, 0.7472], [0.2122, 0.6940, 0.8816]], "total_energy_ev_per_atom": -4.377, "magmom_total_mub_per_cell": 0.0, "e_form_raw_ev_per_atom": -1.509}



{"formula": "SmDyBr", "functional": "PBE", "state": "optimized geometry", "lattice": [[-1.5253, -3.3888, 0.5316], [1.4293, 0.9105, -3.3498], [6.5773, -2.6325, 2.0910]], "species": ["Sm", "Dy", "Br"], "fractional_positions": [[0.0000, 0.0000, 0.0136], [0.3333, 0.6667, 0.6475], [0.6667, 0.3333, 0.3388]], "total_energy_ev_per_atom": -4.405, "magmom_total_mub_per_cell": 0.4, "e_form_raw_ev_per_atom": -0.741}



{"formula": "DySnBr2", "functional": "PBE", "state": "optimized geometry", "lattice": [[-3.2259, -1.3943, 1.2162], [-2.6640, -0.9143, -2.4284], [2.0340, -10.6112, -1.0839]], "species": ["Br", "Br", "Sn", "Dy"], "fractional_positions": [[0.0848, 0.0848, 0.7456], [0.9152, 0.9152, 0.2544], [0.5000, 0.5000, 0.5000], [0.0000, 0.0000, 0.0000]], "total_energy_ev_per_atom": -3.557, "magmom_total_mub_per_cell": 0.0, "e_form_raw_ev_per_atom": -0.569}



{"formula": "DyTlSnBr6", "functional": "PBE", "state": "optimized geometry", "lattice": [[-7.1185, 2.1501, 1.3744], [-5.2975, -5.1887, 1.4778], [1.4955, 0.4691, 7.0154]], "species": ["Br", "Tl", "Br", "Sn", "Br", "Br", "Dy", "Br", "Br"], "fractional_positions": [[0.6255, 0.0184, 0.2732], [0.0000, 0.0000, 0.0000], [0.0184, 0.3560, 0.2732], [0.6666, 0.6667, 0.5000], [0.0184, 0.6256, 0.7267], [0.3560, 0.0185, 0.7267], [0.3334, 0.3333, 0.5000], [0.6255, 0.3560, 0.7267], [0.3560, 0.6255, 0.2732]], "total_energy_ev_per_atom": -3.634, "magmom_total_mub_per_cell": 0.0, "e_form_raw_ev_per_atom": -1.299}



{"formula": "SrDyBr2", "functional": "PBE", "state": "optimized geometry", "lattice": [[3.8606, 0.0000, 0.0000], [1.9303, 3.3434, 0.0000], [1.9303, 1.1145, 10.5106]], "species": ["Dy", "Sr", "Br", "Br"], "fractional_positions": [[0.5000, 0.5000, 0.5000], [0.0000, 0.0000, 0.0000], [0.1040, 0.1040, 0.6880], [0.8960, 0.8960, 0.3120]], "total_energy_ev_per_atom": -3.491, "magmom_total_mub_per_cell": 0.0, "e_form_raw_ev_per_atom": -1.083}



{"formula": "SrDyBr5", "functional": "PBE", "state": "optimized geometry", "lattice": [[-0.6178, 4.2358, 0.5400], [-5.9851, -1.6224, 5.8794], [10.3480, 0.3215, 9.3166]], "species": ["Sr", "Br", "Dy", "Dy", "Sr", "Br", "Br", "Br", "Br", "Br", "Br", "Br", "Br", "Br"], "fractional_positions": [[0.7500, 0.0886, 0.1432], [0.7500, 0.3271, 0.4821], [0.2500, 0.4221, 0.3523], [0.7500, 0.5779, 0.6477], [0.2500, 0.9114, 0.8568], [0.2500, 0.8550, 0.0747], [0.2500, 0.6729, 0.5179], [0.7500, 0.6366, 0.8528], [0.2500, 0.3634, 0.1472], [0.7500, 0.9094, 0.6782], [0.7500, 0.6157, 0.3019], [0.7500, 0.1450, 0.9253], [0.2500, 0.0906, 0.3218], [0.2500, 0.3843, 0.6981]], "total_energy_ev_per_atom": -4.025, "magmom_total_mub_per_cell": 0.0, "e_form_raw_ev_per_atom": -1.933}



{"formula": "Sr2DyBr", "functional": "PBE", "state": "optimized geometry", "lattice": [[-2.8368, -1.7127, -2.0112], [0.5198, -3.5635, -1.4342], [-5.0960, -6.4528, 8.9476]], "species": ["Dy", "Sr", "Sr", "Br"], "fractional_positions": [[0.0000, 0.0000, 0.0000], [0.8992, 0.8992, 0.3024], [0.1008, 0.1008, 0.6976], [0.5000, 0.5000, 0.5000]], "total_energy_ev_per_atom": -2.776, "magmom_total_mub_per_cell": 0.7, "e_form_raw_ev_per_atom": -0.366}



{"formula": "Sr2DyTlBr8", "functional": "PBE", "state": "optimized geometry", "lattice": [[-5.4542, 3.8397, 2.6926], [-4.0410, -2.1072, -5.1673], [-2.6996, -7.4421, 5.1440]], "species": ["Br", "Br", "Sr", "Dy", "Br", "Br", "Br", "Sr", "Br", "Br", "Br", "Tl"], "fractional_positions": [[0.3205, 0.2520, 0.0000], [0.8412, 0.2301, 0.2119], [0.5000, 0.5000, 0.7495], [0.0000, 0.0000, 0.0000], [0.6350, 0.7328, 0.5000], [0.6795, 0.7480, 0.0000], [0.8413, 0.2301, 0.7881], [0.5000, 0.5000, 0.2505], [0.1587, 0.7699, 0.2119], [0.1588, 0.7699, 0.7881], [0.3650, 0.2672, 0.5000], [0.0000, 0.0000, 0.5000]], "total_energy_ev_per_atom": -3.781, "magmom_total_mub_per_cell": 0.0, "e_form_raw_ev_per_atom": -1.805}



{"formula": "TbDyBr2", "functional": "PBE", "state": "optimized geometry", "lattice": [[-1.8739, 3.0953, -0.5509], [-3.0593, 0.6501, 1.9009], [3.7438, 5.7782, 7.5726]], "species": ["Br", "Br", "Dy", "Tb"], "fractional_positions": [[0.0964, 0.0964, 0.7107], [0.9036, 0.9036, 0.2893], [0.0000, 0.0000, 0.0000], [0.5000, 0.5000, 0.5000]], "total_energy_ev_per_atom": -4.133, "magmom_total_mub_per_cell": 0.0, "e_form_raw_ev_per_atom": -0.989}



{"formula": "TbDyY2Br4", "functional": "PBE", "state": "optimized geometry", "lattice": [[-3.2413, -5.0147, 3.4821], [6.6787, 1.1392, 1.3696], [-3.0201, 5.2641, 1.1532]], "species": ["Br", "Y", "Tb", "Dy", "Br", "Br", "Br", "Y"], "fractional_positions": [[0.9902, 0.9902, 0.4813], [0.3842, 0.8842, 0.7685], [0.9907, 0.9907, 0.9815], [0.4914, 0.4914, 0.9829], [0.4911, 0.4911, 0.4813], [0.3838, 0.8846, 0.2683], [0.8846, 0.3838, 0.2683], [0.8842, 0.3842, 0.7685]], "total_energy_ev_per_atom": -4.525, "magmom_total_mub_per_cell": 0.0, "e_form_raw_ev_per_atom": -0.919}



{"formula": "Dy2Te2Br", "functional": "PBE", "state": "optimized geometry", "lattice": [[6.0844, 0.0000, 0.0000], [-3.0422, 6.7679, 0.2165], [0.0000, -3.3913, 7.8071]], "species": ["Dy", "Dy", "Te", "Dy", "Te", "Br", "Te", "Te", "Dy", "Br"], "fractional_positions": [[0.8392, 0.6784, 0.4206], [0.1608, 0.3216, 0.5794], [0.3186, 0.6371, 0.3910], [0.5012, 0.0023, 0.7401], [0.6814, 0.3629, 0.6090], [0.6536, 0.3072, 0.0959], [0.0104, 0.0208, 0.7733], [0.9896, 0.9792, 0.2267], [0.4988, 0.9977, 0.2599], [0.3464, 0.6928, 0.9041]], "total_energy_ev_per_atom": -4.900, "magmom_total_mub_per_cell": 0.0, "e_form_raw_ev_per_atom": -1.468}



{"formula": "Dy2TeBr3", "functional": "PBE", "state": "optimized geometry", "lattice": [[-1.7224, -3.7573, -0.5302], [6.4254, -4.5333, -5.1233], [4.4498, -5.5363, 8.4014]], "species": ["Dy", "Br", "Br", "Dy", "Br", "Dy", "Br", "Dy", "Te", "Br", "Te", "Br"], "fractional_positions": [[0.1305, 0.5779, 0.1612], [0.2404, 0.1187, 0.4006], [0.0550, 0.1400, 0.7500], [0.6087, 0.2208, 0.5619], [0.3316, 0.3170, 0.0198], [0.3913, 0.7792, 0.4381], [0.9450, 0.8600, 0.2500], [0.8695, 0.4221, 0.8388], [0.4007, 0.5351, 0.6635], [0.7596, 0.8813, 0.5994], [0.5993, 0.4649, 0.3365], [0.6684, 0.6830, 0.9802]], "total_energy_ev_per_atom": -4.452, "magmom_total_mub_per_cell": 1.4, "e_form_raw_ev_per_atom": -1.558}



{"formula": "Dy2ThBr", "functional": "PBE", "state": "optimized geometry", "lattice": [[-3.4906, -1.1184, -0.0572], [-1.6007, -0.8491, -3.1867], [1.3503, -10.2191, -0.0640]], "species": ["Br", "Dy", "Dy", "Th"], "fractional_positions": [[0.0000, 0.0000, 0.0000], [0.2569, 0.2569, 0.2293], [0.7431, 0.7431, 0.7707], [0.5000, 0.5000, 0.5000]], "total_energy_ev_per_atom": -5.122, "magmom_total_mub_per_cell": 0.0, "e_form_raw_ev_per_atom": -0.547}



{"formula": "DyThBr2", "functional": "PBE", "state": "optimized geometry", "lattice": [[3.5716, 0.0000, 0.0000], [1.7858, 3.0931, 0.0000], [1.7858, 1.0310, 10.3596]], "species": ["Br", "Th", "Dy", "Br"], "fractional_positions": [[0.0993, 0.0993, 0.7022], [0.0000, 0.0000, 0.0000], [0.5000, 0.5000, 0.5000], [0.9007, 0.9007, 0.2978]], "total_energy_ev_per_atom": -4.725, "magmom_total_mub_per_cell": 0.0, "e_form_raw_ev_per_atom": -0.883}



{"formula": "DyTiBr", "functional": "PBE", "state": "optimized geometry", "lattice": [[2.9324, 1.3825, -0.5135], [1.4594, 4.4028, -0.7933], [-2.8126, -4.4855, 13.8392]], "species": ["Br", "Ti", "Dy", "Br", "Ti", "Dy"], "fractional_positions": [[0.7439, 0.4015, 0.1977], [0.3511, 0.2435, 0.9225], [0.4176, 0.1341, 0.4008], [0.2561, 0.5985, 0.8023], [0.6489, 0.7565, 0.0775], [0.5824, 0.8659, 0.5992]], "total_energy_ev_per_atom": -4.972, "magmom_total_mub_per_cell": 0.0, "e_form_raw_ev_per_atom": -0.249}



{"formula": "Dy2TlBr2", "functional": "PBE", "state": "optimized geometry", "lattice": [[3.9041, 0.0000, 0.9098], [1.8461, 3.4401, 0.9098], [-0.6670, -0.3990, 11.6944]], "species": ["Dy", "Br", "Dy", "Tl", "Br"], "fractional_positions": [[0.3933, 0.3933, 0.8201], [0.7784, 0.7784, 0.6647], [0.6067, 0.6067, 0.1799], [0.0000, 0.0000, 0.0000], [0.2216, 0.2216, 0.3353]], "total_energy_ev_per_atom": -4.107, "magmom_total_mub_per_cell": 0.0, "e_form_raw_ev_per_atom": -1.124}



{"formula": "DyTl2Br6", "functional": "PBE", "state": "optimized geometry", "lattice": [[4.0291, 0.0000, 0.0000], [0.0000, 8.3762, 0.0000], [0.0000, -4.1881, 8.2365]], "species": ["Br", "Tl", "Br", "Tl", "Br", "Br", "Br", "Br", "Dy"], "fractional_positions": [[0.5000, 0.6089, 0.0000], [0.0000, 0.3315, 0.6733], [0.5000, 0.0138, 0.5836], [0.0000, 0.6581, 0.3267], [0.0000, 0.2230, 0.0000], [0.0000, 0.7668, 0.7663], [0.0000, 0.0005, 0.2337], [0.5000, 0.4302, 0.4164], [0.5000, 0.9673, 0.0000]], "total_energy_ev_per_atom": -3.263, "magmom_total_mub_per_cell": 0.0, "e_form_raw_ev_per_atom": -1.110}



{"formula": "DyTl5Br8", "functional": "PBE", "state": "optimized geometry", "lattice": [[-3.5127, -3.2943, -7.0528], [8.2686, 1.3938, -1.5758], [-0.8861, -5.4114, 6.5502]], "species": ["Dy", "Br", "Br", "Tl", "Br", "Tl", "Br", "Br", "Tl", "Tl", "Br", "Br", "Tl", "Br"], "fractional_positions": [[0.2498, 0.7502, 0.5000], [0.1554, 0.5509, 0.7329], [0.4490, 0.1815, 0.6044], [0.8739, 0.2623, 0.8666], [0.5774, 0.8444, 0.3955], [0.9928, 0.1262, 0.3883], [0.5969, 0.8900, 0.8483], [0.2514, 0.4030, 0.2931], [0.7377, 0.6043, 0.6116], [0.5000, 0.4999, 0.9999], [0.0416, 0.7486, 0.1514], [0.8185, 0.4230, 0.2674], [0.3957, 0.0073, 0.1336], [0.1099, 0.9583, 0.7070]], "total_energy_ev_per_atom": -3.246, "magmom_total_mub_per_cell": 0.0, "e_form_raw_ev_per_atom": -1.116}



{"formula": "Dy2Tl5Br12", "functional": "PBE", "state": "optimized geometry", "lattice": [[-0.5133, 6.0479, 5.8139], [-6.4714, -7.4151, 1.0669], [9.0671, -3.1274, 4.0537]], "species": ["Tl", "Tl", "Dy", "Br", "Br", "Br", "Br", "Br", "Dy", "Tl", "Br", "Br", "Br", "Br", "Br", "Br", "Tl", "Br", "Tl"], "fractional_positions": [[0.7174, 0.4348, 0.3752], [0.2826, 0.5652, 0.6248], [0.7479, 0.0000, 0.0000], [0.1006, 0.6751, 0.9168], [0.5746, 0.6751, 0.9168], [0.4254, 0.3249, 0.0832], [0.0039, 0.0079, 0.1842], [0.5062, 0.0125, 0.1912], [0.2521, 0.0000, 0.0000], [0.3139, 0.6278, 0.1848], [0.1122, 0.7389, 0.4438], [0.4938, 0.9875, 0.8088], [0.6267, 0.7389, 0.4438], [0.9961, 0.9921, 0.8158], [0.8878, 0.2611, 0.5562], [0.8994, 0.3249, 0.0832], [0.0000, 0.0000, 0.5000], [0.3733, 0.2611, 0.5562], [0.6861, 0.3722, 0.8152]], "total_energy_ev_per_atom": -3.381, "magmom_total_mub_per_cell": 0.0, "e_form_raw_ev_per_atom": -1.217}



{"formula": "Dy2Tl3Br9", "functional": "PBE", "state": "optimized geometry", "lattice": [[10.2115, 0.0563, 0.9748], [0.8915, 10.1727, 0.9748], [0.0611, 0.0563, 10.2578]], "species": ["Br", "Br", "Br", "Br", "Tl", "Dy", "Dy", "Br", "Tl", "Br", "Br", "Tl", "Br", "Br", "Tl", "Br", "Tl", "Br", "Br", "Br", "Br", "Br", "Dy", "Dy", "Br", "Br", "Tl", "Br"], "fractional_positions": [[0.4229, 0.5646, 0.7794], [0.5953, 0.9047, 0.7500], [0.9047, 0.7500, 0.5953], [0.4354, 0.2206, 0.5771], [0.5387, 0.2500, 0.9613], [0.1472, 0.1472, 0.1472], [0.3528, 0.3528, 0.3528], [0.5646, 0.7794, 0.4229], [0.7500, 0.0387, 0.4613], [0.9229, 0.2794, 0.0646], [0.0771, 0.7206, 0.9354], [0.9613, 0.5387, 0.2500], [0.2500, 0.4047, 0.0953], [0.9354, 0.0771, 0.7206], [0.2500, 0.9613, 0.5387], [0.2206, 0.5771, 0.4354], [0.4613, 0.7500, 0.0387], [0.0646, 0.9229, 0.2794], [0.0953, 0.2500, 0.4047], [0.7206, 0.9354, 0.0771], [0.5771, 0.4354, 0.2206], [0.7500, 0.5953, 0.9047], [0.6472, 0.6472, 0.6472], [0.8528, 0.8528, 0.8528], [0.2794, 0.0646, 0.9229], [0.4047, 0.0953, 0.2500], [0.0387, 0.4613, 0.7500], [0.7794, 0.4229, 0.5646]], "total_energy_ev_per_atom": -3.660, "magmom_total_mub_per_cell": 0.0, "e_form_raw_ev_per_atom": -1.420}